Entry 1:
First-principles (PBE-GGA) data for an optimized crystal structure of RbCu2Ge2, as listed in Alexandria via LeMat-Bulk.

**ΔH_f (0 K)**: 0.120 eV per atom
**Energy above the lowest structure with this stoichiometry**: 0.0706 eV per atom

Cell: 4.4990 4.4990 12.2974 Å, 90.00 90.00 90.00°
Closest atoms and distances in Å follow each position.
Space group I4/mmm (No. 139)
Inequivalent atoms, fractional coordinates:
Rb 0.0000 0.0000 0.0000 x2  8 Ge 3.81, 10 Cu 3.81-4.05
Cu 0.0000 0.0000 0.3294 x4  4 Ge 2.45
Ge 0.0000 0.5000 0.2500 x4  4 Cu 2.45


Entry 2:
First-principles (PBE-GGA) data for an optimized crystal structure of NaLiPaO3, as listed in Alexandria via LeMat-Bulk.

**ΔE_f (raw)**: -2.484 eV per atom

Cell: 3.5768 12.3485 8.9866 Å, 90.00 90.00 90.00°
Closest atoms and distances in Å follow each position.
Space group Cmcm (No. 63)
Inequivalent atoms, fractional coordinates:
Na 0.0000 0.1756 0.2500 x4  4 O 2.61-2.72
Li 0.0000 0.0936 0.7500 x4  4 O 2.04-2.20
Pa 0.0000 0.5000 0.0000 x4  6 O 2.23-2.25
O 0.0000 0.1067 0.5242 x8  1 Li 2.04, 2 Pa 2.23
O 0.0000 0.4900 0.7500 x4  2 Li 2.20, 2 Pa 2.25


Entry 3:
First-principles (PBE-GGA) data for an optimized crystal structure of KAg2Mo, as listed in Alexandria via LeMat-Bulk.

**ΔH_f (0 K)**: 0.809 eV per atom
**Energy above the lowest structure with this stoichiometry**: 0.1951 eV per atom

Cell: 2.7630 5.4587 11.4891 Å, 90.00 90.00 90.00°
Closest atoms and distances in Å follow each position.
Space group Imm2 (No. 44)
Inequivalent atoms, fractional coordinates:
K 0.0000 0.0000 0.0000 x2  2 K 2.76, 4 Ag 3.06
Ag 0.0000 0.0000 0.5101 x2  4 Ag 2.76-2.91, 2 Mo 2.89, 4 K 3.06
Ag 0.0000 0.5000 0.2326 x2  4 Ag 2.76-2.91
Mo 0.0000 0.5000 0.7891 x2  2 Mo 2.76, 2 Ag 2.89


Entry 4:
First-principles (PBE-GGA) data for an optimized crystal structure of Ac4Tl3In, as listed in Alexandria via LeMat-Bulk.

**ΔH_f (0 K)**: -0.364 eV per atom
**Energy above the lowest structure with this stoichiometry**: 0.0080 eV per atom

Cell: 4.7334 5.0113 12.4361 Å, 90.00 90.00 90.00°
Closest atoms and distances in Å follow each position.
Space group Pmm2 (No. 25)
Inequivalent atoms, fractional coordinates:
Ac 0.0000 0.0000 0.0000 x1  6 Tl 3.52-3.73, 1 In 3.53
Ac 0.0000 0.5000 0.4972 x1  5 Tl 3.49-3.51, 2 In 3.65
Ac 0.5000 0.0000 0.7252 x1  7 Tl 3.51-3.70
Ac 0.5000 0.5000 0.2242 x1  3 Tl 3.48-3.70, 4 In 3.53
Tl 0.0000 0.5000 0.7778 x1  2 Tl 3.14, 5 Ac 3.49-3.51
Tl 0.5000 0.0000 0.4429 x1  2 In 3.08
Tl 0.5000 0.5000 0.9443 x1  2 Tl 3.14, 5 Ac 3.48-3.52
In 0.0000 0.0000 0.2839 x1  2 Tl 3.08


Entry 5:
First-principles (PBE-GGA) data for an optimized crystal structure of Ac3Mg2Hg, as listed in Alexandria via LeMat-Bulk.

**ΔH_f (0 K)**: -0.205 eV per atom

Cell: 4.1008 4.1008 12.2167 Å, 90.00 90.00 90.00°
Closest atoms and distances in Å follow each position.
Space group P4/mmm (No. 123)
Inequivalent atoms, fractional coordinates:
Ac 0.0000 0.0000 0.0000 x1  8 Mg 3.53
Ac 0.0000 0.0000 0.3368 x2  4 Hg 3.52, 4 Mg 3.58
Mg 0.5000 0.5000 0.1645 x2  8 Ac 3.53-3.58
Hg 0.5000 0.5000 0.5000 x1  8 Ac 3.52


Entry 6:
First-principles (PBE-GGA) data for an optimized crystal structure of SmThTlOs, as listed in Alexandria via LeMat-Bulk.

**ΔH_f (0 K)**: -0.181 eV per atom

Cell: 7.1757 4.1400 8.3772 Å, 90.00 106.66 90.00°
Closest atoms and distances in Å follow each position.
Space group Cm (No. 8)
Inequivalent atoms, fractional coordinates:
Sm 0.0000 0.0000 0.0000 x2  3 Os 2.87
Th 0.2087 0.0000 0.6262 x2  3 Os 2.77-2.78
Tl 0.2691 0.5000 0.3065 x2  3 Sm 3.43, 3 Th 3.50-3.51
Os 0.1002 0.5000 0.8015 x2  3 Th 2.77-2.78, 3 Sm 2.87